Record 1
Entry from Alexandria: an optimized crystal structure of AcTlAuO (GGA-PBE).

Results
Raw formation energy in eV per atom: -1.58
Crystal system: tetragonal
Magnetization in μB/f.u.: 0.000

Cell: 4.4610 4.4610 9.8540 Å, 90.00 90.00 90.00°
Last column: nearest neighbours and their distance in Å.
Sites, in units of the cell vectors:
Ac  0.0000  0.5000  0.8821  4 O 2.51
Ac  0.5000  0.0000  0.1179  4 O 2.51
Tl  0.0000  0.0000  0.5000  4 Au 3.03, 4 Tl 3.15
Tl  0.5000  0.5000  0.5000  4 Au 3.03, 4 Tl 3.15
Au  0.5000  0.0000  0.7077  4 Tl 3.03
Au  0.0000  0.5000  0.2923  4 Tl 3.03
O  0.5000  0.5000  0.0000  4 Ac 2.51
O  0.0000  0.0000  0.0000  4 Ac 2.51

---

Record 2
Entry from Alexandria: an optimized crystal structure of Ac2TlAu2O6 (GGA-PBE).

Results
Raw formation energy in eV per atom: -1.53
Crystal system: triclinic
Magnetization in μB/f.u.: 0.000

Cell: 6.4694 7.3348 7.3244 Å, 113.57 102.22 43.07°
Last column: nearest neighbours and their distance in Å.
Sites, in units of the cell vectors:
Ac  0.8818  0.2690  0.8335  6 O 2.53-2.60
Ac  0.1182  0.7310  0.1665  6 O 2.53-2.60
Tl  0.5000  0.0000  0.5000  4 O 2.46-2.49
Au  0.0976  0.5984  0.6584  3 O 2.02-2.15
Au  0.9024  0.4016  0.3416  3 O 2.02-2.15
O  0.3124  0.7035  0.8699  1 Au 2.15
O  0.8288  0.6128  0.1735  1 Au 2.08
O  0.9815  0.8613  0.5359  1 Au 2.02
O  0.1712  0.3872  0.8265  1 Au 2.08
O  0.0185  0.1387  0.4641  1 Au 2.02
O  0.6876  0.2965  0.1301  1 Au 2.15